First-principles (GGA-PBE) data for a relaxed TeAsBr2 crystal, as listed in the Alexandria database.

Cell: 10.6333 10.6333 10.6333 Å, 18.95 18.95 18.95°
Fractional positions:
As1 0.5000 0.5000 0.5000
Te1 0.0000 0.0000 0.0000
Br1 0.8989 0.8989 0.8989
Br2 0.1011 0.1011 0.1011

## Properties
E above lowest polymorph ... 438 meV/atom
Total magnetic moment ... 0.0 Bohr magnetons per cell
Uncorrected formation energy ... 267 meV/atom
VASP energy ... -2.518 eV/atom